1.
Below is a PBEsol-optimized structure of Zr2CrSb, with properties calculated at the meta-GGA SCAN level.

* uncorrected formation energy: -236.3 meV per atom
* electronic total energy: -118.0 eV/f.u.
* crystal system: tetragonal
* V: 18.8 Å³ per atom
* M_tot: 0.00 μB/atom

abc: 3.535 3.535 6.023
angles: 90.00 90.00 90.00
Space group P4/mmm (No. 123)
Inequivalent atoms, fractional coordinates:
Zr: 0.000 0.000 0.237
Cr: 0.500 0.500 0.000
Sb: 0.500 0.500 0.500



2.
Below is a PBEsol-optimized structure of CaCuCl2, with properties calculated at the meta-GGA SCAN level.

* uncorrected formation energy: -1078.9 meV per atom
* ΔE to the lowest computed polymorph: 0.18 eV/f.u.
* electronic total energy: -45.1 eV/f.u.
* crystal system: tetragonal
* V: 20.3 Å³ per atom
* M_tot: 0.00 μB/atom

abc: 3.542 3.542 6.470
angles: 90.00 90.00 90.00
Space group P4mm (No. 99)
Inequivalent atoms, fractional coordinates:
Ca: 0.000 0.000 0.000
Cu: 0.500 0.500 0.686
Cl: 0.000 0.000 0.592
Cl: 0.500 0.500 0.212



3.
Below is a PBEsol-optimized structure of MnSbRh2, with properties calculated at the meta-GGA SCAN level.

* uncorrected formation energy: -391.9 meV per atom
* electronic total energy: -124.6 eV/f.u.
* crystal system: orthorhombic
* V: 15.2 Å³ per atom
* M_tot: 1.17 μB/atom

abc: 3.030 3.455 5.796
angles: 90.00 90.00 90.00
Space group Pmmm (No. 47)
Inequivalent atoms, fractional coordinates:
Mn: 0.000 0.000 0.000
Sb: 0.000 0.000 0.500
Rh: 0.500 0.500 0.243



4.
Below is a PBEsol-optimized structure of SnP2Se, with properties calculated at the meta-GGA SCAN level.

* uncorrected formation energy: 739.8 meV per atom
* electronic total energy: -73.8 eV/f.u.
* crystal system: cubic
* V: 18.3 Å³ per atom
* M_tot: 0.00 μB/atom

abc: 6.636 6.636 6.636
angles: 90.00 90.00 90.00
Space group Fm-3m (No. 225)
Inequivalent atoms, fractional coordinates:
Sn: 0.000 0.000 0.000
P: 0.250 0.250 0.250
Se: 0.000 0.000 0.500



5.
Below is a PBEsol-optimized structure of RuPt7, with properties calculated at the meta-GGA SCAN level.

* electronic total energy: -525.7 eV/f.u.
* energy of formation: 0.06 eV/atom
* crystal system: cubic
* V: 14.8 Å³ per atom
* M_tot: 0.00 μB/atom

abc: 7.787 7.787 7.787
angles: 90.00 90.00 90.00
Space group Fm-3m (No. 225)
Inequivalent atoms, fractional coordinates:
Ru: 0.000 0.000 0.000
Pt: 0.000 0.000 0.500
Pt: 0.000 0.250 0.250



6.
Below is a PBEsol-optimized structure of VPO5, with properties calculated at the meta-GGA SCAN level.

* uncorrected formation energy: -2462.9 meV per atom
* ΔE to the lowest computed polymorph: 0.11 eV/f.u.
* electronic total energy: -76.3 eV/f.u.
* crystal system: tetragonal
* V: 13.0 Å³ per atom
* M_tot: 0.00 μB/atom

abc: 9.162 9.162 8.655
angles: 90.00 90.00 90.00
Space group P4_2/mbc (No. 135)
Inequivalent atoms, fractional coordinates:
V: 0.090 0.249 0.000
P: 0.000 0.000 0.250
P: 0.000 0.500 0.250
O: 0.004 0.637 0.149
O: 0.094 0.101 0.149
O: 0.192 0.249 0.500